A.
The following is a GGA+U calculation of a relaxed LiVGe2O6 crystal, from the Alexandria database.

POSCAR file:
```
LiVGe2O6
1.0
9.769 0.000 0.000
0.000 8.904 0.000
-1.308 0.000 5.330
Li V Ge O
4 4 8 24
Direct
0.247 0.010 0.460
0.247 0.490 0.960
0.753 0.510 0.040
0.753 0.990 0.540
0.248 0.655 0.461
0.248 0.845 0.961
0.752 0.155 0.039
0.752 0.345 0.539
0.053 0.161 0.818
0.053 0.339 0.318
0.454 0.158 0.239
0.454 0.342 0.739
0.546 0.658 0.261
0.546 0.842 0.761
0.947 0.661 0.682
0.947 0.839 0.182
0.110 0.187 0.151
0.110 0.313 0.651
0.135 0.000 0.742
0.135 0.500 0.242
0.135 0.669 0.749
0.135 0.831 0.249
0.359 0.667 0.178
0.359 0.833 0.678
0.381 0.519 0.678
0.381 0.981 0.178
0.383 0.209 0.499
0.383 0.291 0.999
0.617 0.709 0.001
0.617 0.791 0.501
0.619 0.019 0.822
0.619 0.481 0.322
0.641 0.167 0.322
0.641 0.333 0.822
0.865 0.000 0.258
0.865 0.169 0.751
0.865 0.331 0.251
0.865 0.500 0.758
0.890 0.687 0.349
0.890 0.813 0.849
```

Output
- Space group: P2_1/c (14)

---

B.
The following is a GGA+U calculation of a relaxed LiVGe2O6 crystal, from the Alexandria database.

POSCAR file:
```
LiVGe2O6
1.0
4.902 -4.440 0.000
4.902 4.440 0.000
-1.118 0.000 5.217
Li V Ge O
2 2 4 12
Direct
0.232 0.768 0.750
0.768 0.232 0.250
0.403 0.597 0.250
0.597 0.403 0.750
0.109 0.294 0.780
0.294 0.109 0.280
0.706 0.891 0.720
0.891 0.706 0.220
0.078 0.206 0.072
0.133 0.628 0.372
0.206 0.078 0.572
0.306 0.469 0.867
0.372 0.867 0.128
0.469 0.306 0.367
0.531 0.694 0.633
0.628 0.133 0.872
0.694 0.531 0.133
0.794 0.922 0.428
0.867 0.372 0.628
0.922 0.794 0.928
```

Output
- Space group: C2/c (15)

---

Which one sits at the top of the stability order? A does.

---

A.
The following is a GGA+U calculation of a relaxed Li7VGeO8 crystal, from the Alexandria database.

POSCAR file:
```
Li7VGeO8
1.0
5.362 0.000 0.000
-0.106 6.334 0.000
-0.037 -0.027 10.873
Li V Ge O
14 2 2 16
Direct
0.000 0.000 0.000
0.001 0.508 0.501
0.134 0.750 0.737
0.178 0.978 0.498
0.370 0.643 0.367
0.455 0.278 0.590
0.494 0.493 0.827
0.497 0.992 0.826
0.621 0.003 0.314
0.628 0.243 0.086
0.698 0.460 0.311
0.824 0.139 0.486
0.981 0.770 0.238
0.992 0.500 0.000
0.487 0.742 0.077
0.983 0.246 0.749
0.143 0.257 0.249
0.644 0.749 0.580
0.002 0.251 0.103
0.003 0.046 0.338
0.061 0.500 0.326
0.087 0.251 0.594
0.095 0.469 0.824
0.103 0.029 0.825
0.161 0.751 0.076
0.472 0.245 0.246
0.502 0.739 0.725
0.527 0.967 0.491
0.590 0.510 0.490
0.594 0.521 0.000
0.598 0.733 0.231
0.609 0.962 0.002
0.656 0.242 0.748
0.974 0.775 0.580
```

Output
- Space group: P1 (1)

---

B.
The following is a GGA+U calculation of a relaxed Li7VGeO8 crystal, from the Alexandria database.

POSCAR file:
```
Li7VGeO8
1.0
5.410 0.000 0.000
0.000 6.409 0.000
-0.185 0.000 10.845
Li V Ge O
14 2 2 16
Direct
0.000 0.000 0.000
0.005 0.230 0.230
0.005 0.770 0.230
0.157 0.000 0.492
0.241 0.201 0.753
0.241 0.799 0.753
0.480 0.500 0.632
0.522 0.250 0.392
0.522 0.750 0.392
0.632 0.500 0.152
0.639 0.249 0.916
0.639 0.751 0.916
0.894 0.309 0.730
0.894 0.691 0.730
0.006 0.500 0.482
0.147 0.500 0.976
0.514 0.000 0.153
0.663 0.000 0.643
0.030 0.500 0.121
0.036 0.279 0.893
0.036 0.721 0.893
0.106 0.500 0.643
0.122 0.282 0.411
0.122 0.718 0.411
0.184 0.000 0.153
0.470 0.500 0.977
0.530 0.000 0.497
0.570 0.231 0.726
0.570 0.769 0.726
0.631 0.000 0.000
0.634 0.227 0.229
0.634 0.773 0.229
0.683 0.500 0.481
0.998 0.000 0.663
```

Output
- Space group: Pm (6)

---

Which one sits at the top of the stability order? A does.